a | Below is a geometry-optimized LaNd2Y8 structure, with properties calculated at the GGA-PBE level.

**Total magnetic moment**: 0.00 μB/f.u.

Lattice parameters (Å, degrees): 5.611 10.268 10.268 40.45 92.77 92.77
Atoms (fractional coordinates):
La 0.000 0.000 0.000
Nd 0.752 0.285 0.285
Nd 0.248 0.715 0.715
Y 0.269 0.135 0.601
Y 0.269 0.601 0.135
Y 0.731 0.865 0.399
Y 0.238 0.547 0.547
Y 0.731 0.399 0.865
Y 0.234 0.187 0.187
Y 0.766 0.813 0.813
Y 0.762 0.453 0.453


b | Below is a geometry-optimized LaNd2Y8 structure, with properties calculated at the GGA-PBE level.

**Total magnetic moment**: 0.00 μB/f.u.

Lattice parameters (Å, degrees): 6.717 6.773 8.984 98.42 111.95 90.00
Atoms (fractional coordinates):
La 0.000 0.000 0.000
Nd 0.756 0.698 0.513
Nd 0.244 0.302 0.487
Y 0.826 0.408 0.179
Y 0.647 0.592 0.821
Y 0.794 0.204 0.587
Y 0.206 0.796 0.413
Y 0.353 0.408 0.179
Y 0.174 0.592 0.821
Y 0.589 0.905 0.177
Y 0.411 0.095 0.823


What should be chosen as the least stable of them? Choose b.